A plane-wave DFT calculation with PBE was carried out for a relaxed structure of Sc2UAl9.

Structure (POSCAR):
```
Sc2UAl9
1.0
4.159 0.000 0.000
0.000 4.159 0.000
0.000 0.000 12.503
Sc U Al
2 1 9
Cartesian
0.000 0.000 4.204 Sc
0.000 0.000 8.299 Sc
0.000 0.000 0.000 U
2.079 2.079 0.000 Al
2.079 2.079 4.202 Al
2.079 2.079 8.301 Al
2.079 0.000 2.150 Al
2.079 0.000 6.251 Al
2.079 0.000 10.353 Al
0.000 2.079 2.150 Al
0.000 2.079 6.251 Al
0.000 2.079 10.353 Al
```

volume = 18.02 Å³ per atom
space group = P4/mmm (123)
formation energy = -7.897 kcal/mol of atoms



A plane-wave DFT calculation with PBE was carried out for a relaxed structure of Tb3Sm6Y2Er.

Structure (POSCAR):
```
Tb3Sm6Y2Er
1.0
-2.857 2.448 -4.964
4.877 -3.797 -0.774
-7.878 -8.730 1.527
Tb Sm Y Er
3 6 2 1
Cartesian
-0.351 -7.122 -0.709 Tb
-5.507 -2.958 -3.502 Tb
-2.929 -5.040 -2.106 Tb
-5.680 -6.524 -3.855 Sm
-0.451 -3.195 -3.930 Sm
-0.178 -3.555 -0.356 Sm
-3.110 -8.600 -2.463 Sm
-5.407 -6.884 -0.282 Sm
-2.748 -1.479 -1.749 Sm
2.298 -1.715 -2.171 Y
-0.279 0.366 -3.567 Y
0.000 0.000 0.000 Er
```

volume = 32.70 Å³ per atom
space group = C2/m (12)
formation energy = 0.309 kcal/mol of atoms



A plane-wave DFT calculation with PBE was carried out for a relaxed structure of POsRu2.

Structure (POSCAR):
```
POsRu2
1.0
-2.637 0.882 -0.056
-0.899 -2.525 2.576
1.091 3.503 3.815
P Os Ru
1 1 2
Cartesian
-1.223 0.930 3.168 P
-1.768 -0.822 1.260 Os
0.815 2.616 2.849 Ru
0.276 0.887 0.966 Ru
```

volume = 13.68 Å³ per atom
space group = Pmmm (47)
formation energy = 4.379 kcal/mol of atoms